This record from the Alexandria database describes an optimized crystal structure of PmDyErZn. The functional is GGA-PBE.

Computed properties:
- Space-group type: P4mm
- Calculated formation energy: -0.164 eV per atom
- Excess energy over the best structure of this formula in the dataset: 0.0 kJ/mol of atoms

Cell and atoms, written as POSCAR:
```
PmDyErZn
1.0
3.570 0.000 0.000
0.000 3.570 0.000
0.000 0.000 8.678
Pm Dy Er Zn
1 1 1 1
Direct
0.000 0.000 0.073 Pm
0.500 0.500 0.774 Dy
0.500 0.500 0.369 Er
0.000 0.000 0.568 Zn
```



This record from the Alexandria database describes an optimized crystal structure of K4MgRe. The functional is GGA-PBE.

Computed properties:
- Space-group type: F-43m
- Calculated formation energy: 1.298 eV per atom

Cell and atoms, written as POSCAR:
```
K4MgRe
1.0
0.000 5.062 5.062
5.062 0.000 5.062
5.062 5.062 0.000
K Mg Re
4 1 1
Direct
0.877 0.374 0.374 K
0.374 0.374 0.877 K
0.374 0.877 0.374 K
0.374 0.374 0.374 K
0.750 0.750 0.750 Mg
0.000 0.000 0.000 Re
```



This record from the Alexandria database describes an optimized crystal structure of ScSbPb. The functional is GGA-PBE.

Computed properties:
- Space-group type: P3m1
- Excess energy over the best structure of this formula in the dataset: 19.2 kJ/mol of atoms
- Formation energy from raw total energies: -4.0 kcal/mol of atoms

Cell and atoms, written as POSCAR:
```
ScSbPb
1.0
-1.253 2.479 2.136
-2.158 -2.416 -1.335
1.310 -4.443 5.926
Pb Sb Sc
1 1 1
Direct
0.000 0.000 0.985 Pb
0.333 0.667 0.359 Sb
0.667 0.333 0.655 Sc
```



This record from the Alexandria database describes an optimized crystal structure of Pu4CrGe8. The functional is GGA-PBE.

Computed properties:
- Space-group type: Pmm2
- Calculated formation energy: -0.287 eV per atom

Cell and atoms, written as POSCAR:
```
Pu4CrGe8
1.0
4.042 0.000 0.000
0.000 4.220 0.000
0.000 0.000 15.675
Pu Cr Ge
4 1 8
Direct
0.000 0.000 0.090 Pu
0.000 0.500 0.612 Pu
0.500 0.500 0.395 Pu
0.500 0.000 0.900 Pu
0.000 0.000 0.314 Cr
0.000 0.000 0.468 Ge
0.000 0.500 0.935 Ge
0.500 0.500 0.050 Ge
0.500 0.000 0.574 Ge
0.000 0.500 0.227 Ge
0.000 0.000 0.751 Ge
0.500 0.000 0.226 Ge
0.500 0.500 0.761 Ge
```



This record from the Alexandria database describes an optimized crystal structure of Y3Pd5. The functional is GGA-PBE.

Computed properties:
- Space-group type: Cmcm
- Calculated formation energy: -0.912 eV per atom

Cell and atoms, written as POSCAR:
```
Y3Pd5
1.0
5.851 -0.088 0.000
-1.379 5.687 0.000
0.000 0.000 9.679
Y Pd
6 10
Direct
0.203 0.797 0.000 Y
0.797 0.203 0.000 Y
0.797 0.203 0.500 Y
0.203 0.797 0.500 Y
0.618 0.618 0.750 Y
0.382 0.382 0.250 Y
0.503 0.058 0.750 Pd
0.497 0.942 0.250 Pd
0.058 0.503 0.750 Pd
0.942 0.497 0.250 Pd
0.018 0.018 0.750 Pd
0.982 0.982 0.250 Pd
0.312 0.312 0.954 Pd
0.688 0.688 0.046 Pd
0.688 0.688 0.454 Pd
0.312 0.312 0.546 Pd
```



This record from the Alexandria database describes an optimized crystal structure of Dy3YPu2Te6. The functional is GGA-PBE.

Computed properties:
- Space-group type: C2/m
- Formation energy from raw total energies: -28.7 kcal/mol of atoms

Cell and atoms, written as POSCAR:
```
Dy3YPu2Te6
1.0
4.363 0.000 0.000
0.000 8.790 0.287
-2.181 -2.561 9.212
Dy Y Pu Te
3 1 2 6
Direct
0.500 0.500 0.000 Dy
0.832 0.166 0.665 Dy
0.168 0.834 0.335 Dy
0.500 0.000 0.000 Y
0.834 0.667 0.668 Pu
0.166 0.333 0.332 Pu
0.334 0.920 0.667 Te
0.666 0.586 0.331 Te
0.666 0.080 0.333 Te
0.998 0.250 0.996 Te
0.002 0.750 0.004 Te
0.334 0.414 0.669 Te
```



This record from the Alexandria database describes an optimized crystal structure of Rb2DyAg2Te4. The functional is GGA-PBE.

Computed properties:
- Space-group type: C2/m
- Formation energy from raw total energies: -19.5 kcal/mol of atoms

Cell and atoms, written as POSCAR:
```
Rb2DyAg2Te4
1.0
4.423 0.000 0.000
0.000 8.863 0.496
-2.212 -3.060 7.662
Rb Dy Ag Te
2 1 2 4
Direct
0.131 0.566 0.262 Rb
0.869 0.434 0.738 Rb
0.000 0.000 0.000 Dy
0.681 0.981 0.363 Ag
0.319 0.019 0.637 Ag
0.196 0.191 0.392 Te
0.804 0.809 0.608 Te
0.513 0.764 0.026 Te
0.487 0.236 0.974 Te
```



This record from the Alexandria database describes an optimized crystal structure of Y2ErGeC. The functional is GGA-PBE.

Computed properties:
- Space-group type: P4/mmm
- Calculated formation energy: -0.556 eV per atom

Cell and atoms, written as POSCAR:
```
Y2ErGeC
1.0
-4.376 0.384 1.864
1.527 -2.168 4.031
1.171 4.293 1.865
Y Er Ge C
2 1 1 1
Direct
0.000 0.000 0.500 Y
0.000 0.500 0.000 Y
0.500 0.000 0.000 Er
0.500 0.500 0.500 Ge
0.000 0.000 0.000 C
```



This record from the Alexandria database describes an optimized crystal structure of TlSbPb2. The functional is GGA-PBE.

Computed properties:
- Space-group type: Pm
- Excess energy over the best structure of this formula in the dataset: 1.2 kJ/mol of atoms
- Formation energy from raw total energies: 0.6 kcal/mol of atoms

Cell and atoms, written as POSCAR:
```
TlSbPb2
1.0
5.409 0.000 0.000
0.000 3.417 -0.229
0.000 2.238 6.563
Pb Sb Tl
2 1 1
Direct
0.000 0.056 0.009 Pb
0.500 0.439 0.239 Pb
0.000 0.303 0.530 Sb
0.500 0.702 0.722 Tl
```



This record from the Alexandria database describes an optimized crystal structure of Sr2PmAl2Sb4. The functional is GGA-PBE.

Computed properties:
- Space-group type: C2/m
- Formation energy from raw total energies: -15.7 kcal/mol of atoms

Cell and atoms, written as POSCAR:
```
Sr2PmAl2Sb4
1.0
-0.914 4.091 -1.575
0.314 -2.818 -7.503
-7.153 -2.767 3.331
Sr Pm Al Sb
2 1 2 4
Direct
0.129 0.560 0.258 Sr
0.871 0.440 0.742 Sr
0.000 0.000 0.000 Pm
0.668 0.985 0.336 Al
0.332 0.015 0.664 Al
0.211 0.203 0.421 Sb
0.789 0.797 0.579 Sb
0.513 0.727 0.027 Sb
0.487 0.273 0.973 Sb
```



This record from the Alexandria database describes an optimized crystal structure of TlBrCl4. The functional is GGA-PBE.

Computed properties:
- Space-group type: F-43m
- Excess energy over the best structure of this formula in the dataset: 67.9 kJ/mol of atoms
- Formation energy from raw total energies: 6.0 kcal/mol of atoms

Cell and atoms, written as POSCAR:
```
TlBrCl4
1.0
-3.967 -4.159 -1.931
-4.747 -1.499 3.462
-5.593 1.675 -1.635
Tl Br Cl
1 1 4
Direct
0.750 0.750 0.750 Tl
0.000 0.000 0.000 Br
0.878 0.374 0.374 Cl
0.374 0.374 0.878 Cl
0.374 0.878 0.374 Cl
0.374 0.374 0.374 Cl
```



This record from the Alexandria database describes an optimized crystal structure of Cs2AgIBr3. The functional is GGA-PBE.

Computed properties:
- Space-group type: Immm
- Formation energy from raw total energies: -25.0 kcal/mol of atoms

Cell and atoms, written as POSCAR:
```
Cs2AgIBr3
1.0
5.632 0.000 0.000
0.000 5.584 0.000
-2.816 -2.792 9.195
Cs Ag I Br
2 1 1 3
Direct
0.646 0.646 0.293 Cs
0.354 0.354 0.707 Cs
0.000 0.000 0.000 Ag
0.500 0.000 0.000 I
0.000 0.500 0.000 Br
0.155 0.155 0.309 Br
0.845 0.845 0.691 Br
```